First-principles (PBE-GGA) data for crystalline Tb3Nd7Er at its relaxed geometry, as listed in the Alexandria database.

Lattice parameters (Å, degrees): 7.1992 10.3345 12.5452 66.34 73.36 69.63
Fractional coordinates of all 22 atoms:
Tb1 0.0000 0.0000 0.0000
Tb2 0.0000 0.5000 0.5000
Tb3 0.3281 0.0671 0.2734
Tb4 0.3308 0.5672 0.7734
Tb5 0.6692 0.4328 0.2266
Tb6 0.6719 0.9329 0.7266
Nd1 0.0836 0.8072 0.5279
Nd2 0.0880 0.3067 0.0248
Nd3 0.1566 0.4544 0.2266
Nd4 0.1628 0.9548 0.7265
Nd5 0.2875 0.7499 0.2500
Nd6 0.4189 0.6928 0.9720
Nd7 0.4198 0.1933 0.4751
Nd8 0.5802 0.8067 0.5249
Nd9 0.5811 0.3072 0.0280
Nd10 0.7125 0.2501 0.7500
Nd11 0.8372 0.0452 0.2735
Nd12 0.8434 0.5456 0.7734
Nd13 0.9120 0.6933 0.9752
Nd14 0.9164 0.1928 0.4721
Er1 0.5000 0.0000 0.0000
Er2 0.5000 0.5000 0.5000

Summary:
* crystal system: triclinic
* D(E_F): 1.525 states/eV per atom
* formation energy: 4.21 kcal/mol of atoms

***

First-principles (PBE-GGA) data for crystalline Tb3NdEr2 at its relaxed geometry, as listed in the Alexandria database.

Lattice parameters (Å, degrees): 9.4262 9.4262 6.1643 90.10 90.10 44.38
Fractional coordinates of all 12 atoms:
Tb1 0.1239 0.8761 0.7500
Tb2 0.2061 0.4573 0.5845
Tb3 0.4573 0.2061 0.0845
Tb4 0.5427 0.7939 0.9155
Tb5 0.7939 0.5427 0.4155
Tb6 0.8761 0.1239 0.2500
Nd1 0.3742 0.6258 0.2500
Nd2 0.6258 0.3742 0.7500
Er1 0.0431 0.2918 0.9176
Er2 0.2918 0.0431 0.4176
Er3 0.7082 0.9569 0.5824
Er4 0.9569 0.7082 0.0824

Summary:
* crystal system: monoclinic
* D(E_F): 1.369 states/eV per atom
* formation energy: 0.42 kcal/mol of atoms

***

First-principles (PBE-GGA) data for crystalline Tb3Nd2Er2 at its relaxed geometry, as listed in the Alexandria database.

Lattice parameters (Å, degrees): 6.1796 6.1796 10.7513 95.42 95.42 33.69
Fractional coordinates of all 7 atoms:
Tb1 0.0000 0.0000 0.0000
Tb2 0.1421 0.1421 0.5698
Tb3 0.8579 0.8579 0.4302
Nd1 0.2853 0.2853 0.1451
Nd2 0.7147 0.7147 0.8549
Er1 0.4293 0.4293 0.7119
Er2 0.5707 0.5707 0.2881

Summary:
* crystal system: monoclinic
* D(E_F): 1.286 states/eV per atom
* formation energy: 0.40 kcal/mol of atoms

***

First-principles (PBE-GGA) data for crystalline Tb12Nd6Er at its relaxed geometry, as listed in the Alexandria database.

Lattice parameters (Å, degrees): 8.7293 8.7293 8.7293 79.43 79.43 79.43
Fractional coordinates of all 19 atoms:
Tb1 0.1365 0.1365 0.4882
Tb2 0.1365 0.4882 0.1365
Tb3 0.1961 0.5141 0.5141
Tb4 0.4859 0.4859 0.8039
Tb5 0.4859 0.8039 0.4859
Tb6 0.4882 0.1365 0.1365
Tb7 0.5118 0.8635 0.8635
Tb8 0.5141 0.1961 0.5141
Tb9 0.5141 0.5141 0.1961
Tb10 0.8039 0.4859 0.4859
Tb11 0.8635 0.5118 0.8635
Tb12 0.8635 0.8635 0.5118
Nd1 0.1622 0.7678 0.7678
Nd2 0.2322 0.2322 0.8378
Nd3 0.2322 0.8378 0.2322
Nd4 0.7678 0.1622 0.7678
Nd5 0.7678 0.7678 0.1622
Nd6 0.8378 0.2322 0.2322
Er1 0.0000 0.0000 0.0000

Summary:
* crystal system: trigonal
* D(E_F): 1.547 states/eV per atom
* formation energy: 2.87 kcal/mol of atoms

***

The following energy relative to the lowest polymorph listed for this composition values (in meV/atom) correspond, in order, to the records above: 0; 22; 0; 0.